The following is a PBE with a Hubbard U calculation of a geometry-optimized Ce5Mo2O12 structure, from Alexandria via LeMat-Bulk.

Cell: 12.7958 6.0974 7.4786 Å, 90.00 106.83 90.00°
Space group C2/m (No. 12)
One atom of each set of equivalent atoms:
1 Ce 0.0000 0.0000 0.0000 [2 per cell]
2 Ce 0.1919 0.5000 0.3393 [4 per cell]
3 Ce 0.1921 0.5000 0.8539 [4 per cell]
4 Mo 0.0000 0.2445 0.5000 [4 per cell]
5 O 0.0022 0.5000 0.3011 [4 per cell]
6 O 0.0035 0.0000 0.3002 [4 per cell]
7 O 0.1559 0.2495 0.0718 [8 per cell]
8 O 0.1731 0.2672 0.5936 [8 per cell]

Properties
E   -159.69 eV/f.u.